Sc2CoGe2 meta-GGA SCAN single point on PBEsol structure; ΔH_f (0 K) = -0.80 eV/atom; crystal system = monoclinic; DFT total energy = -17.589 eV per atom; Fermi-level density of states = 6.0 states/eV/cell
1.0
4.962 -1.986 0.000
4.962 1.986 0.000
-4.510 0.000 8.364
Sc Co Ge
4 2 4
Direct
0.005 0.005 0.332
0.181 0.181 0.106
0.819 0.819 0.894
0.995 0.995 0.668
0.279 0.279 0.630
0.721 0.721 0.370
0.352 0.352 0.425
0.480 0.480 0.126
0.520 0.520 0.874
0.648 0.648 0.575